No. 1
Material: MgPtNO
Method: DFT, PBE-GGA
State: optimized geometry

Results
- E_tot: -22.31 eV/cell

Cell lengths 3.314, 3.314, 4.006 Å; angles 90.00, 90.00, 90.00 degrees
Space group P4/mmm (No. 123)
One atom of each set of equivalent atoms:
Mg  0.000  0.000  0.000
Pt  0.500  0.500  0.500
N  0.500  0.500  0.000
O  0.000  0.000  0.500

No. 2
Material: MgPtNO
Method: DFT, PBE-GGA
State: optimized geometry

Results
- E_tot: -44.68 eV/cell

Cell lengths 3.077, 5.891, 5.663 Å; angles 90.00, 90.00, 90.00 degrees
Space group Pmc2_1 (No. 26)
One atom of each set of equivalent atoms:
Mg  0.000  0.207  0.000
Pt  0.500  0.255  0.526
N  0.000  0.124  0.353
O  0.500  0.369  0.871

No. 3
Material: MgPtNO
Method: DFT, PBE-GGA
State: optimized geometry

Results
- E_tot: -45.12 eV/cell

Cell lengths 3.358, 6.018, 5.064 Å; angles 90.00, 90.00, 90.00 degrees
Space group Pmc2_1 (No. 26)
One atom of each set of equivalent atoms:
Mg  0.000  0.150  0.000
Pt  0.500  0.408  0.473
N  0.500  0.291  0.837
O  0.000  0.159  0.385

No. 4
Material: MgPtNO
Method: DFT, PBE-GGA
State: optimized geometry

Results
- E_tot: -45.95 eV/cell

Cell lengths 3.980, 3.980, 6.516 Å; angles 90.00, 90.00, 90.00 degrees
Space group P4/nmm (No. 129, origin choice 2)
One atom of each set of equivalent atoms:
Mg  0.250  0.250  0.050
Pt  0.250  0.750  0.500
N  0.250  0.250  0.390
O  0.250  0.750  0.000

No. 5
Material: MgReNO
Method: DFT, PBE-GGA
State: optimized geometry

Results
- E_tot: -119.66 eV/cell

Cell lengths 5.698, 7.297, 4.502 Å; angles 90.00, 90.00, 90.00 degrees
Space group Pca2_1 (No. 29)
One atom of each set of equivalent atoms:
Mg  0.079  0.133  0.000
Re  0.145  0.667  0.986
N  0.057  0.136  0.512
O  0.026  0.412  0.063

No. 6
Material: MgReNO
Method: DFT, PBE-GGA
State: optimized geometry

Results
- E_tot: -60.03 eV/cell

Cell lengths 3.889, 3.889, 6.341 Å; angles 90.00, 90.00, 90.00 degrees
Space group P4/nmm (No. 129, origin choice 2)
One atom of each set of equivalent atoms:
Mg  0.250  0.250  0.046
Re  0.250  0.750  0.500
N  0.250  0.250  0.386
O  0.250  0.750  0.000

No. 7
Material: MgReNO
Method: DFT, PBE-GGA
State: optimized geometry

Results
- E_tot: -60.48 eV/cell

Cell lengths 3.196, 5.854, 4.976 Å; angles 90.00, 90.00, 90.00 degrees
Space group Pmc2_1 (No. 26)
One atom of each set of equivalent atoms:
Mg  0.000  0.136  0.000
Re  0.500  0.409  0.434
N  0.000  0.208  0.406
O  0.500  0.255  0.831

No. 8
Material: MgReNO
Method: DFT, PBE-GGA
State: optimized geometry

Results
- E_tot: -51.56 eV/cell

Cell lengths 3.439, 3.439, 7.155 Å; angles 90.00, 90.00, 90.00 degrees
Space group P4/nmm (No. 129, origin choice 2)
One atom of each set of equivalent atoms:
Mg  0.250  0.750  0.000
Re  0.250  0.250  0.333
N  0.250  0.250  0.814
O  0.250  0.750  0.500

No. 9
Material: MgReNO
Method: DFT, PBE-GGA
State: optimized geometry

Results
- E_tot: -60.70 eV/cell

Cell lengths 2.898, 6.083, 5.260 Å; angles 90.00, 90.00, 90.00 degrees
Space group Pmc2_1 (No. 26)
One atom of each set of equivalent atoms:
Mg  0.000  0.145  0.000
Re  0.500  0.411  0.448
N  0.500  0.298  0.796
O  0.000  0.158  0.371

No. 10
Material: SmMgNO
Method: DFT, PBE-GGA
State: optimized geometry

Results
- E_tot: -54.76 eV/cell

Cell lengths 3.892, 6.096, 5.155 Å; angles 90.00, 90.00, 90.00 degrees
Space group Pmc2_1 (No. 26)
One atom of each set of equivalent atoms:
Sm  0.000  0.195  0.000
Mg  0.500  0.324  0.520
N  0.000  0.184  0.466
O  0.500  0.362  0.910

No. 11
Material: SmMgNO
Method: DFT, PBE-GGA
State: optimized geometry

Results
- E_tot: -54.08 eV/cell

Cell lengths 4.863, 4.863, 4.621 Å; angles 90.00, 90.00, 90.00 degrees
Space group P4/nmm (No. 129, origin choice 2)
One atom of each set of equivalent atoms:
Sm  0.250  0.750  0.000
Mg  0.250  0.250  0.499
N  0.250  0.250  0.002
O  0.250  0.750  0.500

No. 12
Material: SmMgNO
Method: DFT, PBE-GGA
State: optimized geometry

Results
- E_tot: -110.21 eV/cell

Cell lengths 5.879, 7.753, 5.174 Å; angles 90.00, 90.00, 90.00 degrees
Space group Pca2_1 (No. 29)
One atom of each set of equivalent atoms:
Sm  0.049  0.147  0.000
Mg  0.076  0.607  0.979
N  0.057  0.145  0.528
O  0.107  0.588  0.598